# 1
AsAuCl2 | GGA-PBE | optimized geometry

```
4
Lattice="1.830 -3.145 0.000 1.830 3.145 0.000 0.000 0.000 8.785" Properties=species:S:1:pos:R:3 pbc="T T T"
As 0.000 0.000 0.000
Au 1.830 0.000 7.057
Cl 0.000 0.000 5.356
Cl 1.830 0.000 1.953
```

- calculated density (g cm⁻³) = 5.628
- crystal system = orthorhombic
- ΔE to the lowest computed polymorph (meV per atom) = 353.2
- calculated volume (Å³ per cell) = 101.1
- ΔE_f (raw) (eV/atom) = -0.013
- total magnetic moment (μB/atom) = 0.000

# 2
As2AuCl | GGA-PBE | optimized geometry

```
4
Lattice="0.000 3.385 3.385 3.385 0.000 3.385 3.385 3.385 0.000" Properties=species:S:1:pos:R:3 pbc="T T T"
As 0.000 0.000 0.000
As 1.692 1.692 1.692
Au 5.077 5.077 5.077
Cl 3.385 3.385 3.385
```

- calculated density (g cm⁻³) = 8.185
- crystal system = cubic
- ΔE to the lowest computed polymorph (meV per atom) = 509.3
- calculated volume (Å³ per cell) = 77.6
- ΔE_f (raw) (eV/atom) = 0.387
- total magnetic moment (μB/atom) = 0.000

# 3
AsAuCl2 | GGA-PBE | optimized geometry

```
4
Lattice="-2.240 2.240 4.030 2.240 -2.240 4.030 2.240 2.240 -4.030" Properties=species:S:1:pos:R:3 pbc="T T T"
As 0.000 0.000 0.000
Au 0.000 0.000 4.030
Cl 2.240 0.000 2.015
Cl 0.000 2.240 2.015
```

- calculated density (g cm⁻³) = 7.039
- crystal system = tetragonal
- ΔE to the lowest computed polymorph (meV per atom) = 869.3
- calculated volume (Å³ per cell) = 80.9
- ΔE_f (raw) (eV/atom) = 0.503
- total magnetic moment (μB/atom) = 0.000

# 4
AsAuCl2 | GGA-PBE | optimized geometry

```
4
Lattice="5.959 0.000 0.000 0.000 3.560 0.000 -1.686 0.000 6.159" Properties=species:S:1:pos:R:3 pbc="T T T"
As 0.000 0.000 0.000
Au -1.026 1.780 4.478
Cl 0.000 1.780 2.312
Cl 2.096 0.000 5.844
```

- calculated density (g cm⁻³) = 4.357
- crystal system = monoclinic
- ΔE to the lowest computed polymorph (meV per atom) = 105.8
- calculated volume (Å³ per cell) = 130.6
- ΔE_f (raw) (eV/atom) = -0.261
- total magnetic moment (μB/atom) = 0.000

# 5
AsAuCl2 | GGA-PBE | optimized geometry

```
4
Lattice="3.109 0.000 0.000 0.000 4.432 0.000 0.000 0.000 6.074" Properties=species:S:1:pos:R:3 pbc="T T T"
As 0.000 0.000 0.000
Au 1.554 0.000 3.037
Cl 0.000 2.216 3.037
Cl 1.554 2.216 0.000
```

- calculated density (g cm⁻³) = 6.802
- crystal system = orthorhombic
- ΔE to the lowest computed polymorph (meV per atom) = 670.0
- calculated volume (Å³ per cell) = 83.7
- ΔE_f (raw) (eV/atom) = 0.304
- total magnetic moment (μB/atom) = 0.000

# 6
AsAu2Cl | GGA-PBE | optimized geometry

```
4
Lattice="2.997 0.000 0.000 0.000 4.700 0.000 0.000 0.000 5.637" Properties=species:S:1:pos:R:3 pbc="T T T"
As 0.000 0.000 0.000
Au 0.000 2.350 2.818
Au 1.499 0.000 2.818
Cl 1.499 2.350 0.000
```

- calculated density (g cm⁻³) = 10.546
- crystal system = orthorhombic
- ΔE to the lowest computed polymorph (meV per atom) = 339.4
- calculated volume (Å³ per cell) = 79.4
- ΔE_f (raw) (eV/atom) = 0.303
- total magnetic moment (μB/atom) = 0.000

Question: Which of these has the highest calculated volume?
Answer: number 4